Computed, not measured: a geometry-optimized PrMgCuSn2 structure at the PBE level of DFT.

a b c (Å): 4.425 4.425 6.892
angles (deg): 108.72 108.72 90.00
Sites, in units of the cell vectors:
1 Sn 0.616 0.616 0.232
2 Pr 0.000 0.000 0.000
3 Cu 0.250 0.750 0.500
4 Mg 0.750 0.250 0.500
5 Sn 0.384 0.384 0.768

Results
theoretical density	6.439	g cm⁻³
crystal system	tetragonal
calculated volume	120.23	Å³/cell
DOS(E_F)	3.09	states/eV/cell
energy of formation	-0.36	eV per atom
symmetry	I-4m2 (119)